1.
# LaY3Mg4 PBE optimized geometry
data_LaY3Mg4
_space_group_name_H-M_alt 'P 4/m m m'
_space_group_IT_number 123
_space_group_name_Hall '-P 4 2'
_cell_length_a 5.428
_cell_length_b 5.428
_cell_length_c 7.682
_cell_angle_alpha 90.00
_cell_angle_beta 90.00
_cell_angle_gamma 90.00
loop_
_atom_site_label
_atom_site_type_symbol
_atom_site_fract_x
_atom_site_fract_y
_atom_site_fract_z
_atom_site_occupancy
La1 La 0.000 0.000 0.000 1
Y1 Y 0.000 0.000 0.500 1
Y2 Y 0.500 0.500 0.000 1
Y3 Y 0.500 0.500 0.500 1
Mg1 Mg 0.000 0.500 0.257 1
# Electronic total energy: -3.946 eV per atom
# Energy of formation from the pure elements: -0.109 eV per atom
# N(E_F): 1.14 states/eV/atom



2.
# La6YMg5 PBE optimized geometry
data_La6YMg5
_space_group_name_H-M_alt 'P 1 2/m 1'
_space_group_IT_number 10
_space_group_name_Hall '-P 2y'
_cell_length_a 5.642
_cell_length_b 7.950
_cell_length_c 8.971
_cell_angle_alpha 90.00
_cell_angle_beta 108.36
_cell_angle_gamma 90.00
loop_
_atom_site_label
_atom_site_type_symbol
_atom_site_fract_x
_atom_site_fract_y
_atom_site_fract_z
_atom_site_occupancy
La1 La 0.000 0.237 0.000 1
La2 La 0.332 0.247 0.660 1
Y1 Y 0.500 0.500 0.000 1
Mg1 Mg 0.158 0.500 0.321 1
Mg2 Mg 0.165 0.000 0.334 1
Mg3 Mg 0.500 0.000 0.000 1
# Electronic total energy: -3.735 eV per atom
# Energy of formation from the pure elements: -0.069 eV per atom
# N(E_F): 1.20 states/eV/atom



3.
# La2YMg PBE optimized geometry
data_La2YMg
_space_group_name_H-M_alt 'R -3 m'
_space_group_IT_number 166
_space_group_name_Hall '-R 3 2"'
_cell_length_a 3.6285
_cell_length_b 3.6285
_cell_length_c 35.1324
_cell_angle_alpha 90.00
_cell_angle_beta 90.00
_cell_angle_gamma 120.00
loop_
_atom_site_label
_atom_site_type_symbol
_atom_site_fract_x
_atom_site_fract_y
_atom_site_fract_z
_atom_site_occupancy
La1 La 0.0000 0.0000 0.2485 1
Y1 Y 0.0000 0.0000 0.0000 1
Mg1 Mg 0.0000 0.0000 0.5000 1
# Electronic total energy: -4.446 eV per atom
# Energy of formation from the pure elements: 0.032 eV per atom
# N(E_F): 1.03 states/eV/atom



4.
# La3YMg PBE optimized geometry
data_La3YMg
_space_group_name_H-M_alt 'P m -3 m'
_space_group_IT_number 221
_space_group_name_Hall '-P 4 2 3'
_cell_length_a 5.891
_cell_length_b 5.891
_cell_length_c 5.891
_cell_angle_alpha 90.00
_cell_angle_beta 90.00
_cell_angle_gamma 90.00
loop_
_atom_site_label
_atom_site_type_symbol
_atom_site_fract_x
_atom_site_fract_y
_atom_site_fract_z
_atom_site_occupancy
La1 La 0.000 0.000 0.500 1
Y1 Y 0.500 0.500 0.500 1
Mg1 Mg 0.000 0.000 0.000 1
# Electronic total energy: -3.995 eV per atom
# Energy of formation from the pure elements: 0.573 eV per atom
# N(E_F): 2.10 states/eV/atom
# Offset from the most stable computed form: 590.1 meV/atom



5.
# LaYMgZn PBE optimized geometry
data_LaYMgZn
_space_group_name_H-M_alt 'F -4 3 m'
_space_group_IT_number 216
_space_group_name_Hall 'F -4 2 3'
_cell_length_a 7.548
_cell_length_b 7.548
_cell_length_c 7.548
_cell_angle_alpha 90.00
_cell_angle_beta 90.00
_cell_angle_gamma 90.00
loop_
_atom_site_label
_atom_site_type_symbol
_atom_site_fract_x
_atom_site_fract_y
_atom_site_fract_z
_atom_site_occupancy
La1 La 0.000 0.000 0.000 1
Y1 Y 0.000 0.000 0.500 1
Mg1 Mg 0.250 0.250 0.750 1
Zn1 Zn 0.250 0.250 0.250 1
# Electronic total energy: -3.749 eV per atom
# Energy of formation from the pure elements: -0.184 eV per atom
# N(E_F): 1.17 states/eV/atom
# Offset from the most stable computed form: 33.6 meV/atom



6.
# LaYMg2Zn PBE optimized geometry
data_LaYMg2Zn
_space_group_name_H-M_alt 'P 4/m m m'
_space_group_IT_number 123
_space_group_name_Hall '-P 4 2'
_cell_length_a 5.076
_cell_length_b 5.076
_cell_length_c 5.726
_cell_angle_alpha 90.00
_cell_angle_beta 90.00
_cell_angle_gamma 90.00
loop_
_atom_site_label
_atom_site_type_symbol
_atom_site_fract_x
_atom_site_fract_y
_atom_site_fract_z
_atom_site_occupancy
La1 La 0.000 0.000 0.000 1
Y1 Y 0.500 0.500 0.000 1
Mg1 Mg 0.000 0.500 0.500 1
Zn1 Zn 0.000 0.000 0.500 1
# Electronic total energy: -3.002 eV per atom
# Energy of formation from the pure elements: 0.169 eV per atom
# N(E_F): 1.17 states/eV/atom



7.
# LaYMgZn PBE optimized geometry
data_LaYMgZn
_space_group_name_H-M_alt 'P 4 m m'
_space_group_IT_number 99
_space_group_name_Hall 'P 4 -2'
_cell_length_a 3.686
_cell_length_b 3.686
_cell_length_c 7.940
_cell_angle_alpha 90.00
_cell_angle_beta 90.00
_cell_angle_gamma 90.00
loop_
_atom_site_label
_atom_site_type_symbol
_atom_site_fract_x
_atom_site_fract_y
_atom_site_fract_z
_atom_site_occupancy
La1 La 0.000 0.000 0.000 1
Y1 Y 0.000 0.000 0.451 1
Mg1 Mg 0.500 0.500 0.709 1
Zn1 Zn 0.500 0.500 0.251 1
# Electronic total energy: -3.783 eV per atom
# Energy of formation from the pure elements: -0.218 eV per atom
# N(E_F): 1.19 states/eV/atom
# Offset from the most stable computed form: 0.0 meV/atom



8.
# LaYMgZr PBE optimized geometry
data_LaYMgZr
_space_group_name_H-M_alt 'F -4 3 m'
_space_group_IT_number 216
_space_group_name_Hall 'F -4 2 3'
_cell_length_a 7.707
_cell_length_b 7.707
_cell_length_c 7.707
_cell_angle_alpha 90.00
_cell_angle_beta 90.00
_cell_angle_gamma 90.00
loop_
_atom_site_label
_atom_site_type_symbol
_atom_site_fract_x
_atom_site_fract_y
_atom_site_fract_z
_atom_site_occupancy
La1 La 0.000 0.000 0.000 1
Y1 Y 0.000 0.000 0.500 1
Mg1 Mg 0.250 0.250 0.750 1
Zr1 Zr 0.250 0.250 0.250 1
# Electronic total energy: -5.265 eV per atom
# Energy of formation from the pure elements: 0.118 eV per atom
# N(E_F): 1.20 states/eV/atom



9.
# LaYbMg2 PBE optimized geometry
data_LaYbMg2
_space_group_name_H-M_alt 'F m -3 m'
_space_group_IT_number 225
_space_group_name_Hall '-F 4 2 3'
_cell_length_a 7.912
_cell_length_b 7.912
_cell_length_c 7.912
_cell_angle_alpha 90.00
_cell_angle_beta 90.00
_cell_angle_gamma 90.00
loop_
_atom_site_label
_atom_site_type_symbol
_atom_site_fract_x
_atom_site_fract_y
_atom_site_fract_z
_atom_site_occupancy
La1 La 0.000 0.000 0.000 1
Yb1 Yb 0.000 0.000 0.500 1
Mg1 Mg 0.250 0.250 0.250 1
# Electronic total energy: -2.507 eV per atom
# Energy of formation from the pure elements: -0.096 eV per atom
# N(E_F): 1.53 states/eV/atom



10.
# La5Mg4Zn4 PBE optimized geometry
data_La5Mg4Zn4
_space_group_name_H-M_alt 'I 4/m'
_space_group_IT_number 87
_space_group_name_Hall '-I 4'
_cell_length_a 12.120
_cell_length_b 12.120
_cell_length_c 4.694
_cell_angle_alpha 90.00
_cell_angle_beta 90.00
_cell_angle_gamma 90.00
loop_
_atom_site_label
_atom_site_type_symbol
_atom_site_fract_x
_atom_site_fract_y
_atom_site_fract_z
_atom_site_occupancy
La1 La 0.000 0.000 0.000 1
La2 La 0.135 0.208 0.500 1
Mg1 Mg 0.076 0.604 0.500 1
Zn1 Zn 0.055 0.743 0.000 1
# Electronic total energy: -2.987 eV per atom
# Energy of formation from the pure elements: -0.209 eV per atom
# N(E_F): 1.00 states/eV/atom



11.
# La6MgZn PBE optimized geometry
data_La6MgZn
_space_group_name_H-M_alt 'I 4/m m m'
_space_group_IT_number 139
_space_group_name_Hall '-I 4 2'
_cell_length_a 5.380
_cell_length_b 5.380
_cell_length_c 18.135
_cell_angle_alpha 90.00
_cell_angle_beta 90.00
_cell_angle_gamma 90.00
loop_
_atom_site_label
_atom_site_type_symbol
_atom_site_fract_x
_atom_site_fract_y
_atom_site_fract_z
_atom_site_occupancy
La1 La 0.000 0.000 0.249 1
La2 La 0.000 0.500 0.109 1
Mg1 Mg 0.000 0.000 0.000 1
Zn1 Zn 0.000 0.000 0.500 1
# Electronic total energy: -4.141 eV per atom
# Energy of formation from the pure elements: -0.087 eV per atom
# N(E_F): 1.39 states/eV/atom
# Offset from the most stable computed form: 0.0 meV/atom



12.
# LaMg6Zn PBE optimized geometry
data_LaMg6Zn
_space_group_name_H-M_alt 'A m m 2'
_space_group_IT_number 38
_space_group_name_Hall 'A 2 -2'
_cell_length_a 4.871
_cell_length_b 6.259
_cell_length_c 12.884
_cell_angle_alpha 90.00
_cell_angle_beta 90.00
_cell_angle_gamma 90.00
loop_
_atom_site_label
_atom_site_type_symbol
_atom_site_fract_x
_atom_site_fract_y
_atom_site_fract_z
_atom_site_occupancy
La1 La 0.000 0.000 0.000 1
Mg1 Mg 0.000 0.000 0.438 1
Mg2 Mg 0.000 0.245 0.727 1
Mg3 Mg 0.500 0.000 0.596 1
Mg4 Mg 0.500 0.246 0.861 1
Zn1 Zn 0.500 0.000 0.164 1
# Electronic total energy: -1.986 eV per atom
# Energy of formation from the pure elements: -0.015 eV per atom
# N(E_F): 0.54 states/eV/atom
# Offset from the most stable computed form: 13.6 meV/atom